A | PBE-GGA BaZrF2, relaxed; volume = 20.3 Å³/atom; spin magnetization = 0.7 μB/cell
1.0
1.7255 0.9962 7.8819
-1.7255 0.9962 7.8819
0.0000 -1.9925 7.8819
Ba Zr F
1 1 2
Direct
0.0000 0.0000 0.0000 Ba
0.5000 0.5000 0.5000 Zr
0.4107 0.4107 0.4107 F
0.5893 0.5893 0.5893 F

=====

B | PBE-GGA BaZrF2, relaxed; volume = 20.9 Å³/atom; spin magnetization = 0.0 μB/cell
1.0
-2.4387 2.4387 7.0257
2.4387 -2.4387 7.0257
2.4387 2.4387 -7.0257
Ba Zr F
2 2 4
Direct
0.0000 0.0000 0.0000 Ba
0.7500 0.2500 0.5000 Ba
0.2500 0.7500 0.5000 Zr
0.5000 0.5000 0.0000 Zr
0.3090 0.6250 0.1840 F
0.3750 0.5590 0.6840 F
0.4410 0.1250 0.8160 F
0.8750 0.6910 0.3160 F

=====

Q: What are the energies relative to the best structure? A: A 0.0; B 16.0, in kJ/mol of atoms.

=====

A | PBE-GGA Ba3Fe, relaxed; volume = 45.0 Å³/atom; spin magnetization = 6.8 μB/cell
1.0
7.1135 0.0000 0.0000
0.0000 7.1135 0.0000
0.0000 0.0000 7.1135
Ba Fe
6 2
Direct
0.0000 0.2500 0.5000 Ba
0.0000 0.7500 0.5000 Ba
0.2500 0.5000 0.0000 Ba
0.5000 0.0000 0.2500 Ba
0.5000 0.0000 0.7500 Ba
0.7500 0.5000 0.0000 Ba
0.0000 0.0000 0.0000 Fe
0.5000 0.5000 0.5000 Fe

=====

B | PBE-GGA Ba3Fe, relaxed; volume = 43.0 Å³/atom; spin magnetization = 7.4 μB/cell
1.0
8.0009 0.0000 0.0000
-4.0005 6.9290 0.0000
0.0000 0.0000 12.3974
Ba Fe
12 4
Direct
0.0000 0.5000 0.0000 Ba
0.0000 0.5000 0.5000 Ba
0.1553 0.3106 0.2500 Ba
0.1553 0.8447 0.2500 Ba
0.3106 0.1553 0.7500 Ba
0.5000 0.0000 0.0000 Ba
0.5000 0.0000 0.5000 Ba
0.5000 0.5000 0.0000 Ba
0.5000 0.5000 0.5000 Ba
0.6894 0.8447 0.2500 Ba
0.8447 0.1553 0.7500 Ba
0.8447 0.6894 0.7500 Ba
0.0000 0.0000 0.0000 Fe
0.0000 0.0000 0.5000 Fe
0.3333 0.6667 0.7500 Fe
0.6667 0.3333 0.2500 Fe

=====

C | PBE-GGA Ba3Fe, relaxed; volume = 50.3 Å³/atom; spin magnetization = 4.7 μB/cell
1.0
6.1731 -7.6295 0.0000
6.1731 7.6295 0.0000
0.0000 0.0000 4.2693
Ba Fe
6 2
Direct
0.1240 0.8760 0.7500 Ba
0.2028 0.4471 0.7500 Ba
0.4471 0.2028 0.2500 Ba
0.5529 0.7972 0.7500 Ba
0.7972 0.5529 0.2500 Ba
0.8760 0.1240 0.2500 Ba
0.4644 0.5356 0.2500 Fe
0.5356 0.4644 0.7500 Fe

=====

Q: What are the energies relative to the best structure? A: A 38.8; B 31.2; C 0.0, in kJ/mol of atoms.

=====

A | PBE-GGA Ba4Fe, relaxed; volume = 49.6 Å³/atom; spin magnetization = 2.3 μB/cell
1.0
-3.9586 3.9586 3.9586
3.9586 -3.9586 3.9586
3.9586 3.9586 -3.9586
Ba Fe
4 1
Direct
0.0000 0.0000 0.5000 Ba
0.0000 0.5000 0.0000 Ba
0.5000 0.0000 0.0000 Ba
0.5000 0.5000 0.5000 Ba
0.0000 0.0000 0.0000 Fe

=====

B | PBE-GGA Ba4Fe, relaxed; volume = 53.2 Å³/atom; spin magnetization = 2.0 μB/cell
1.0
6.4306 0.0000 0.0000
0.0000 6.4306 0.0000
0.0000 0.0000 6.4306
Ba Fe
4 1
Direct
0.0000 0.0000 0.0000 Ba
0.0000 0.5000 0.5000 Ba
0.5000 0.0000 0.5000 Ba
0.5000 0.5000 0.0000 Ba
0.5000 0.5000 0.5000 Fe

=====

Q: What are the energies relative to the best structure? A: A 16.6; B 0.0, in kJ/mol of atoms.

=====

A | PBE-GGA Ba4Fe, relaxed; volume = 52.1 Å³/atom; spin magnetization = 3.2 μB/cell
1.0
-2.4070 2.4070 11.2452
2.4070 -2.4070 11.2452
2.4070 2.4070 -11.2452
Ba Fe
4 1
Direct
0.0826 0.0826 0.0000 Ba
0.2500 0.7500 0.5000 Ba
0.7500 0.2500 0.5000 Ba
0.9174 0.9174 0.0000 Ba
0.5000 0.5000 0.0000 Fe

=====

B | PBE-GGA Ba4Fe, relaxed; volume = 48.9 Å³/atom; spin magnetization = 2.3 μB/cell
1.0
-5.4436 5.4436 2.0611
5.4436 -5.4436 2.0611
5.4436 5.4436 -2.0611
Ba Fe
4 1
Direct
0.0637 0.7515 0.8152 Ba
0.2485 0.0637 0.3122 Ba
0.7515 0.9363 0.6878 Ba
0.9363 0.2485 0.1848 Ba
0.5000 0.5000 0.0000 Fe

=====

Q: What are the energies relative to the best structure? A: A 41.5; B 0.0, in kJ/mol of atoms.

=====

A | PBE-GGA BaGaFe3, relaxed; volume = 21.4 Å³/atom; spin magnetization = 8.1 μB/cell
1.0
4.7481 0.0000 0.0000
0.0000 4.7481 0.0000
0.0000 0.0000 4.7481
Ba Ga Fe
1 1 3
Direct
0.0000 0.0000 0.0000 Ba
0.5000 0.5000 0.5000 Ga
0.0000 0.5000 0.5000 Fe
0.5000 0.0000 0.5000 Fe
0.5000 0.5000 0.0000 Fe

=====

B | PBE-GGA BaGaFe3, relaxed; volume = 23.7 Å³/atom; spin magnetization = 7.3 μB/cell
1.0
4.9135 0.0000 0.0000
0.0000 4.9135 0.0000
0.0000 0.0000 4.9135
Ba Ga Fe
1 1 3
Direct
0.0000 0.0000 0.0000 Ba
0.5000 0.5000 0.5000 Ga
0.0000 0.0000 0.5000 Fe
0.0000 0.5000 0.0000 Fe
0.5000 0.0000 0.0000 Fe

=====

Q: What are the energies relative to the best structure? A: A 0.0; B 141.3, in kJ/mol of atoms.

=====

A | PBE-GGA BaFe2H, relaxed; volume = 16.0 Å³/atom; spin magnetization = 7.9 μB/cell
1.0
0.0000 3.9985 3.9985
3.9985 0.0000 3.9985
3.9985 3.9985 0.0000
Ba Fe H
2 4 2
Direct
0.1250 0.1250 0.1250 Ba
0.8750 0.8750 0.8750 Ba
0.0000 0.5000 0.5000 Fe
0.5000 0.0000 0.5000 Fe
0.5000 0.5000 0.0000 Fe
0.5000 0.5000 0.5000 Fe
0.3750 0.3750 0.3750 H
0.6250 0.6250 0.6250 H

=====

B | PBE-GGA BaFe2H, relaxed; volume = 19.8 Å³/atom; spin magnetization = 6.1 μB/cell
1.0
0.0000 3.4085 3.4085
3.4085 0.0000 3.4085
3.4085 3.4085 0.0000
Ba Fe H
1 2 1
Direct
0.0000 0.0000 0.0000 Ba
0.2500 0.2500 0.2500 Fe
0.7500 0.7500 0.7500 Fe
0.5000 0.5000 0.5000 H

=====

Q: What are the energies relative to the best structure? A: A 0.0; B 111.9, in kJ/mol of atoms.